Record 1
SrCa2Mg: relaxed, GGA-PBE.

E_form ... 56.2 meV/atom
Magnetic moment ... 0.000 μB/f.u.

Unit cell a=3.9556 b=3.9556 c=12.1769 alpha=80.65 beta=80.65 gamma=60.00
With the nearest neighbours (Å) after each atom.
Fractional coordinates of all 4 atoms:
Sr1 0.5001 0.5001 0.4996  6 Sr 3.96, 6 Ca 4.07-4.08
Ca1 0.0727 0.0727 0.7819  3 Mg 3.47
Ca2 0.2606 0.2606 0.2181  3 Mg 3.46
Mg1 0.6666 0.6666 0.0003  6 Ca 3.46-3.47

---

Record 2
NdY2Pt: relaxed, GGA-PBE.

E_form ... -680.7 meV/atom
Offset from the most stable computed form ... 0.000 eV per atom
Magnetic moment ... 0.000 μB/f.u.

Unit cell a=6.5987 b=7.1764 c=9.7017 alpha=90.00 beta=90.00 gamma=90.00
With the nearest neighbours (Å) after each atom.
Fractional coordinates of all 16 atoms:
Nd1 0.6353 0.5239 0.2500  2 Pt 2.90-3.00
Nd2 0.8647 0.0239 0.2500  2 Pt 2.90-3.00
Nd3 0.3647 0.4761 0.7500  2 Pt 2.90-3.00
Nd4 0.1353 0.9761 0.7500  2 Pt 2.90-3.00
Y1 0.1747 0.6762 0.0626  2 Pt 2.87-2.91
Y2 0.3253 0.1762 0.4374  2 Pt 2.87-2.91
Y3 0.8253 0.3238 0.5626  2 Pt 2.87-2.91
Y4 0.6747 0.8238 0.9374  2 Pt 2.87-2.91
Y5 0.8253 0.3238 0.9374  2 Pt 2.87-2.91
Y6 0.6747 0.8238 0.5626  2 Pt 2.87-2.91
Y7 0.1747 0.6762 0.4374  2 Pt 2.87-2.91
Y8 0.3253 0.1762 0.0626  2 Pt 2.87-2.91
Pt1 0.0646 0.3843 0.2500  4 Y 2.87-2.91, 2 Nd 2.90-3.00
Pt2 0.4354 0.8843 0.2500  4 Y 2.87-2.91, 2 Nd 2.90-3.00
Pt3 0.9354 0.6157 0.7500  4 Y 2.87-2.91, 2 Nd 2.90-3.00
Pt4 0.5646 0.1157 0.7500  4 Y 2.87-2.91, 2 Nd 2.90-3.00

---

Record 3
LaNd2Hg6: relaxed, GGA-PBE.

E_form ... -449.2 meV/atom
Magnetic moment ... 0.609 μB/f.u.

Unit cell a=3.5124 b=8.7954 c=8.7954 alpha=120.00 beta=90.00 gamma=90.00
With the nearest neighbours (Å) after each atom.
Fractional coordinates of all 9 atoms:
La1 0.0000 0.0000 0.0000  12 Hg 3.43, 2 La 3.51
Nd1 0.0000 0.3333 0.6667  12 Hg 3.41, 2 Nd 3.51
Nd2 0.0000 0.6667 0.3333  12 Hg 3.41, 2 Nd 3.51
Hg1 0.5000 0.3346 0.3346  3 Hg 2.91-2.94
Hg2 0.5000 0.6654 0.6654  3 Hg 2.91-2.94
Hg3 0.5000 0.0000 0.6654  3 Hg 2.91-2.94
Hg4 0.5000 0.6654 0.0000  3 Hg 2.91-2.94
Hg5 0.5000 0.3346 0.0000  3 Hg 2.91-2.94
Hg6 0.5000 0.0000 0.3346  3 Hg 2.91-2.94

---

Record 4
CaTlNi2: relaxed, GGA-PBE.

E_form ... 112.1 meV/atom
Magnetic moment ... 0.000 μB/f.u.

Unit cell a=3.3895 b=3.4919 c=7.2046 alpha=61.00 beta=90.00 gamma=90.00
With the nearest neighbours (Å) after each atom.
Fractional coordinates of all 4 atoms:
Ni1 0.0000 0.9560 0.0437  1 Ni 2.60, 4 Tl 2.76
Ni2 0.0000 0.5440 0.4563  1 Ni 2.60, 4 Tl 2.76
Tl1 0.5000 0.2500 0.2500  8 Ni 2.76
Ca1 0.5000 0.7500 0.7500  8 Ni 3.06, 2 Tl 3.15, 2 Ca 3.39

---

Record 5
Rb2AcSmSe4: relaxed, GGA-PBE.

Magnetic moment ... 0.000 μB/f.u.

Unit cell a=4.4688 b=7.7500 c=8.4392 alpha=107.74 beta=90.00 gamma=90.00
With the nearest neighbours (Å) after each atom.
Fractional coordinates of all 8 atoms:
Rb1 0.5000 0.0000 0.5000  6 Se 3.57-3.58
Rb2 0.0000 0.5000 0.5000  6 Se 3.46-3.47
Ac1 0.0000 0.0000 0.0000  6 Se 3.11-3.12
Sm1 0.5000 0.5000 0.0000  6 Se 2.98-3.00
Se1 0.5000 0.2482 0.2055  1 Sm 2.98, 2 Ac 3.11
Se2 0.5000 0.7518 0.7945  1 Sm 2.98, 2 Ac 3.11
Se3 0.0000 0.2786 0.8000  2 Sm 3.00, 1 Ac 3.12
Se4 0.0000 0.7214 0.2000  2 Sm 3.00, 1 Ac 3.12

---

Record 6
Tl2MoSe: relaxed, GGA-PBE.

Offset from the most stable computed form ... 0.585 eV per atom
Magnetic moment ... 2.182 μB/f.u.

Unit cell a=3.4702 b=5.0644 c=5.2169 alpha=90.00 beta=90.00 gamma=90.00
With the nearest neighbours (Å) after each atom.
Fractional coordinates of all 4 atoms:
Mo1 0.5000 0.0000 0.5000  4 Se 3.07, 4 Tl 3.13
Se1 0.0000 0.5000 0.5000  4 Mo 3.07, 4 Tl 3.13
Tl1 0.0000 0.0000 0.0000  4 Tl 3.07, 4 Mo 3.13
Tl2 0.5000 0.5000 0.0000  4 Tl 3.07, 4 Se 3.13

---

no.,calculated volume (Å³ per atom),DFT total energy (eV per atom)
1,40.5,-1.7637
2,28.7,-6.6149
3,26.1,-2.2575
4,18.6,-3.8705
5,34.8,-4.8493
6,22.9,-4.1010